DFT (PBE+U) results for crystalline CrPdO2 at its relaxed geometry.

a = 5.921 Å, b = 5.921 Å, c = 5.043 Å
α = 54.06°, β = 54.06°, γ = 90.00°
Fractional coordinates of all 8 atoms:
1 Pd 0.750 0.750 0.500
2 Pd 0.250 0.250 0.500
3 O 0.657 0.843 0.000
4 O 0.157 0.657 0.000
5 O 0.843 0.343 0.000
6 O 0.343 0.157 0.000
7 Cr 0.750 0.250 0.500
8 Cr 0.250 0.750 0.500

**SG**: No. 140
**Total magnetic moment**: 0.50 μB per atom
**Distance to the lowest polymorph of the same formula**: 791 meV/atom
**Uncorrected energy**: -0.4561 Ry/atom

DFT (PBE+U) results for crystalline CrPdO2 at its relaxed geometry.

a = 3.389 Å, b = 3.389 Å, c = 5.455 Å
α = 90.00°, β = 90.00°, γ = 120.00°
Fractional coordinates of all 4 atoms:
1 Pd 0.000 0.000 0.927
2 O 0.333 0.667 0.762
3 O 0.667 0.333 0.350
4 Cr 0.333 0.667 0.416

**SG**: No. 156
**Total magnetic moment**: 0.50 μB per atom
**Distance to the lowest polymorph of the same formula**: 718 meV/atom
**Uncorrected energy**: -0.4615 Ry/atom

DFT (PBE+U) results for crystalline CrPdO2 at its relaxed geometry.

a = 2.921 Å, b = 2.921 Å, c = 6.381 Å
α = 90.01°, β = 90.00°, γ = 120.00°
Fractional coordinates of all 4 atoms:
1 Pd 0.314 0.067 0.064
2 O 0.314 0.067 0.380
3 O 0.314 0.067 0.748
4 Cr 0.648 0.733 0.564

**SG**: No. 187
**Total magnetic moment**: 0.74 μB per atom
**Distance to the lowest polymorph of the same formula**: 351 meV/atom
**Uncorrected energy**: -0.4884 Ry/atom

DFT (PBE+U) results for crystalline CrPdO2 at its relaxed geometry.

a = 8.543 Å, b = 3.833 Å, c = 2.973 Å
α = 90.00°, β = 99.80°, γ = 90.00°
Fractional coordinates of all 8 atoms:
1 Cr 0.040 0.961 0.283
2 Cr 0.262 0.461 0.892
3 Pd 0.541 0.961 0.530
4 Pd 0.760 0.461 0.645
5 O 0.881 0.961 0.706
6 O 0.206 0.961 0.865
7 O 0.421 0.461 0.470
8 O 0.095 0.461 0.310

**SG**: No. 11
**Total magnetic moment**: 0.73 μB per atom
**Distance to the lowest polymorph of the same formula**: 193 meV/atom
**Uncorrected energy**: -0.5001 Ry/atom

DFT (PBE+U) results for crystalline CrPdO3 at its relaxed geometry.

a = 3.905 Å, b = 3.905 Å, c = 3.905 Å
α = 90.00°, β = 90.00°, γ = 90.00°
Fractional coordinates of all 5 atoms:
1 O 0.000 0.000 0.500
2 O 0.000 0.500 0.000
3 O 0.500 0.000 0.000
4 Cr 0.500 0.500 0.500
5 Pd 0.000 0.000 0.000

**SG**: No. 221
**Total magnetic moment**: 0.68 μB per atom
**Uncorrected energy**: -0.4095 Ry/atom

DFT (PBE+U) results for crystalline CrPdO2 at its relaxed geometry.

a = 5.690 Å, b = 5.699 Å, c = 5.345 Å
α = 119.66°, β = 119.61°, γ = 93.81°
Fractional coordinates of all 8 atoms:
1 Cr 0.108 0.661 0.071
2 Cr 0.368 0.399 0.570
3 O 0.102 0.375 0.667
4 O 0.723 0.477 0.961
5 O 0.293 0.045 0.180
6 O 0.394 0.665 0.474
7 Pd 0.850 0.927 0.325
8 Pd 0.842 0.918 0.816

**SG**: No. 1
**Total magnetic moment**: 0.62 μB per atom
**Distance to the lowest polymorph of the same formula**: 477 meV/atom
**Uncorrected energy**: -0.4792 Ry/atom